Run i
GaAs2SBr after structural relaxation, computed with GGA-PBE.

**Magnetization**: 1.041 μB/f.u.
**DOS at the Fermi energy**: 3.5 states/eV/f.u.

a = 4.8708 Å, b = 4.8708 Å, c = 5.4996 Å
α = 90.00°, β = 90.00°, γ = 90.00°
Last column: magnetic moment on the atom in μB.
Fractional positions:
Br: 0.0000 0.0000 0.5000  0.10
S: 0.0000 0.0000 0.0000  0.01
As: 0.0000 0.5000 0.0000  0.20
As: 0.5000 0.0000 0.0000  0.20
Ga: 0.5000 0.5000 0.5000  0.01

Run ii
GaAs2SBr after structural relaxation, computed with GGA-PBE.

**Magnetization**: 0.345 μB/f.u.
**DOS at the Fermi energy**: 4.1 states/eV/f.u.

a = 5.0452 Å, b = 5.0452 Å, c = 4.8791 Å
α = 90.00°, β = 90.00°, γ = 90.00°
Last column: magnetic moment on the atom in μB.
Fractional positions:
Br: 0.0000 0.0000 0.5000  0.02
S: 0.5000 0.5000 0.5000  -0.07
As: 0.5000 0.0000 0.0000  0.11
As: 0.0000 0.5000 0.0000  0.11
Ga: 0.0000 0.0000 0.0000  0.00

Stability, highest: run i

Run i
GaSbAs2Br after structural relaxation, computed with GGA-PBE.

**Magnetization**: 0.000 μB/f.u.
**DOS at the Fermi energy**: 3.5 states/eV/f.u.

a = 5.0461 Å, b = 5.0461 Å, c = 4.9494 Å
α = 90.00°, β = 90.00°, γ = 90.00°
Fractional positions:
As: 0.0000 0.5000 0.0000
As: 0.5000 0.0000 0.0000
Sb: 0.5000 0.5000 0.5000
Ga: 0.0000 0.0000 0.0000
Br: 0.0000 0.0000 0.5000

Run ii
GaSbAs2Br after structural relaxation, computed with GGA-PBE.

**Magnetization**: 0.974 μB/f.u.
**DOS at the Fermi energy**: 3.5 states/eV/f.u.

a = 5.3313 Å, b = 5.3313 Å, c = 5.8184 Å
α = 90.00°, β = 90.00°, γ = 90.00°
Last column: magnetic moment on the atom in μB.
Fractional positions:
Br: 0.0000 0.0000 0.5000  0.06
Ga: 0.5000 0.5000 0.5000  0.00
As: 0.5000 0.0000 0.0000  0.21
As: 0.0000 0.5000 0.0000  0.21
Sb: 0.0000 0.0000 0.0000  -0.02

Stability, highest: run i

Run i
GaAsSe2Br after structural relaxation, computed with GGA-PBE.

**Magnetization**: 0.000 μB/f.u.
**DOS at the Fermi energy**: 6.1 states/eV/f.u.

a = 4.9041 Å, b = 4.9041 Å, c = 5.2942 Å
α = 90.00°, β = 90.00°, γ = 90.00°
Fractional positions:
As: 0.0000 0.0000 0.5000
Se: 0.0000 0.5000 0.0000
Se: 0.5000 0.0000 0.0000
Ga: 0.0000 0.0000 0.0000
Br: 0.5000 0.5000 0.5000

Run ii
GaAsSe2Br after structural relaxation, computed with GGA-PBE.

**Magnetization**: 0.000 μB/f.u.
**DOS at the Fermi energy**: 3.7 states/eV/f.u.

a = 5.0603 Å, b = 5.0603 Å, c = 5.4818 Å
α = 90.00°, β = 90.00°, γ = 90.00°
Fractional positions:
Br: 0.0000 0.0000 0.5000
Ga: 0.5000 0.5000 0.5000
Se: 0.0000 0.5000 0.0000
Se: 0.5000 0.0000 0.0000
As: 0.0000 0.0000 0.0000

Stability, highest: run ii

Run i
GaSiAsBr2 after structural relaxation, computed with GGA-PBE.

**Magnetization**: 0.733 μB/f.u.
**DOS at the Fermi energy**: 3.7 states/eV/f.u.

a = 5.3079 Å, b = 5.3079 Å, c = 4.8307 Å
α = 90.00°, β = 90.00°, γ = 90.00°
Last column: magnetic moment on the atom in μB.
Fractional positions:
Br: 0.5000 0.0000 0.0000  0.06
Br: 0.0000 0.5000 0.0000  0.06
As: 0.0000 0.0000 0.5000  0.27
Si: 0.0000 0.0000 0.0000  0.00
Ga: 0.5000 0.5000 0.5000  0.01

Run ii
GaSiAsBr2 after structural relaxation, computed with GGA-PBE.

**Magnetization**: 0.000 μB/f.u.
**DOS at the Fermi energy**: 3.6 states/eV/f.u.

a = 5.0567 Å, b = 5.0567 Å, c = 5.2004 Å
α = 90.00°, β = 90.00°, γ = 90.00°
Fractional positions:
As: 0.0000 0.0000 0.5000
Ga: 0.0000 0.0000 0.0000
Si: 0.5000 0.5000 0.5000
Br: 0.5000 0.0000 0.0000
Br: 0.0000 0.5000 0.0000

Stability, highest: run i

Run i
GaSnAsBr2 after structural relaxation, computed with GGA-PBE.

**Magnetization**: 0.000 μB/f.u.
**DOS at the Fermi energy**: 2.8 states/eV/f.u.

a = 5.1358 Å, b = 5.1358 Å, c = 5.2256 Å
α = 90.00°, β = 90.00°, γ = 90.00°
Fractional positions:
As: 0.0000 0.0000 0.5000
Ga: 0.0000 0.0000 0.0000
Br: 0.5000 0.0000 0.0000
Br: 0.0000 0.5000 0.0000
Sn: 0.5000 0.5000 0.5000

Run ii
GaSnAsBr2 after structural relaxation, computed with GGA-PBE.

**Magnetization**: 0.980 μB/f.u.
**DOS at the Fermi energy**: 3.4 states/eV/f.u.

a = 5.7103 Å, b = 5.7103 Å, c = 5.3413 Å
α = 90.00°, β = 90.00°, γ = 90.00°
Last column: magnetic moment on the atom in μB.
Fractional positions:
Br: 0.0000 0.5000 0.0000  0.05
Br: 0.5000 0.0000 0.0000  0.05
Sn: 0.0000 0.0000 0.0000  -0.01
Ga: 0.5000 0.5000 0.5000  0.00
As: 0.0000 0.0000 0.5000  0.39

Stability, highest: run i

Run i
SrGaAsBr2 after structural relaxation, computed with GGA-PBE.

**Magnetization**: 0.449 μB/f.u.
**DOS at the Fermi energy**: 4.4 states/eV/f.u.

a = 5.3560 Å, b = 5.3560 Å, c = 5.0736 Å
α = 90.00°, β = 90.00°, γ = 90.00°
Last column: magnetic moment on the atom in μB.
Fractional positions:
Br: 0.5000 0.0000 0.0000  0.03
Br: 0.0000 0.5000 0.0000  0.03
As: 0.0000 0.0000 0.5000  0.15
Ga: 0.0000 0.0000 0.0000  0.00
Sr: 0.5000 0.5000 0.5000  0.01

Run ii
SrGaAsBr2 after structural relaxation, computed with GGA-PBE.

**Magnetization**: 2.001 μB/f.u.
**DOS at the Fermi energy**: 2.6 states/eV/f.u.

a = 5.9019 Å, b = 5.9019 Å, c = 6.2234 Å
α = 90.00°, β = 90.00°, γ = 90.00°
Last column: magnetic moment on the atom in μB.
Fractional positions:
Sr: 0.0000 0.0000 0.0000  0.01
Br: 0.5000 0.0000 0.0000  0.05
Br: 0.0000 0.5000 0.0000  0.05
Ga: 0.5000 0.5000 0.5000  0.01
As: 0.0000 0.0000 0.5000  0.75

Stability, highest: run i

Run i
SrGaAs2Br after structural relaxation, computed with GGA-PBE.

**Magnetization**: 2.290 μB/f.u.
**DOS at the Fermi energy**: 4.1 states/eV/f.u.

a = 5.9488 Å, b = 5.9488 Å, c = 5.8521 Å
α = 90.00°, β = 90.00°, γ = 90.00°
Last column: magnetic moment on the atom in μB.
Fractional positions:
Sr: 0.0000 0.0000 0.0000  0.02
As: 0.0000 0.5000 0.0000  0.44
As: 0.5000 0.0000 0.0000  0.44
Br: 0.0000 0.0000 0.5000  0.10
Ga: 0.5000 0.5000 0.5000  0.02

Run ii
SrGaAs2Br after structural relaxation, computed with GGA-PBE.

**Magnetization**: 0.000 μB/f.u.
**DOS at the Fermi energy**: 2.4 states/eV/f.u.

a = 4.8647 Å, b = 4.8647 Å, c = 5.9283 Å
α = 90.00°, β = 90.00°, γ = 90.00°
Fractional positions:
As: 0.0000 0.5000 0.0000
As: 0.5000 0.0000 0.0000
Ga: 0.0000 0.0000 0.0000
Br: 0.0000 0.0000 0.5000
Sr: 0.5000 0.5000 0.5000

Stability, highest: run ii

Run i
TaGaAsBr2 after structural relaxation, computed with GGA-PBE.

**Magnetization**: 0.200 μB/f.u.
**DOS at the Fermi energy**: 1.7 states/eV/f.u.

a = 5.2340 Å, b = 5.2340 Å, c = 5.0489 Å
α = 90.00°, β = 90.00°, γ = 90.00°
Last column: magnetic moment on the atom in μB.
Fractional positions:
As: 0.0000 0.0000 0.5000  -0.01
Ga: 0.5000 0.5000 0.5000  0.00
Br: 0.0000 0.5000 0.0000  0.01
Br: 0.5000 0.0000 0.0000  0.01
Ta: 0.0000 0.0000 0.0000  0.14

Run ii
TaGaAsBr2 after structural relaxation, computed with GGA-PBE.

**Magnetization**: 2.367 μB/f.u.
**DOS at the Fermi energy**: 3.7 states/eV/f.u.

a = 4.9692 Å, b = 4.9692 Å, c = 5.0876 Å
α = 90.00°, β = 90.00°, γ = 90.00°
Last column: magnetic moment on the atom in μB.
Fractional positions:
Br: 0.0000 0.5000 0.0000  -0.05
Br: 0.5000 0.0000 0.0000  -0.05
Ga: 0.0000 0.0000 0.0000  -0.01
Ta: 0.5000 0.5000 0.5000  1.91
As: 0.0000 0.0000 0.5000  -0.19

Stability, highest: run i

Run i
GaTcAs2Br after structural relaxation, computed with GGA-PBE.

**Magnetization**: 0.000 μB/f.u.
**DOS at the Fermi energy**: 1.6 states/eV/f.u.

a = 4.7394 Å, b = 4.7394 Å, c = 5.6741 Å
α = 90.00°, β = 90.00°, γ = 90.00°
Fractional positions:
Ga: 0.5000 0.5000 0.5000
Tc: 0.0000 0.0000 0.0000
As: 0.5000 0.0000 0.0000
As: 0.0000 0.5000 0.0000
Br: 0.0000 0.0000 0.5000

Run ii
GaTcAs2Br after structural relaxation, computed with GGA-PBE.

**Magnetization**: 3.396 μB/f.u.
**DOS at the Fermi energy**: 2.8 states/eV/f.u.

a = 4.9233 Å, b = 4.9233 Å, c = 5.0974 Å
α = 90.00°, β = 90.00°, γ = 90.00°
Last column: magnetic moment on the atom in μB.
Fractional positions:
Ga: 0.0000 0.0000 0.0000  -0.01
As: 0.5000 0.0000 0.0000  -0.20
As: 0.0000 0.5000 0.0000  -0.20
Tc: 0.5000 0.5000 0.5000  3.61
Br: 0.0000 0.0000 0.5000  0.01

Stability, highest: run i

Run i
GaTeAsBr2 after structural relaxation, computed with GGA-PBE.

**Magnetization**: 0.000 μB/f.u.
**DOS at the Fermi energy**: 0.7 states/eV/f.u.

a = 5.9327 Å, b = 5.9327 Å, c = 5.1581 Å
α = 90.00°, β = 90.00°, γ = 90.00°
Fractional positions:
As: 0.0000 0.0000 0.5000
Ga: 0.5000 0.5000 0.5000
Te: 0.0000 0.0000 0.0000
Br: 0.5000 0.0000 0.0000
Br: 0.0000 0.5000 0.0000

Run ii
GaTeAsBr2 after structural relaxation, computed with GGA-PBE.

**Magnetization**: 0.651 μB/f.u.
**DOS at the Fermi energy**: 2.9 states/eV/f.u.

a = 4.9842 Å, b = 4.9842 Å, c = 5.5524 Å
α = 90.00°, β = 90.00°, γ = 90.00°
Last column: magnetic moment on the atom in μB.
Fractional positions:
Br: 0.0000 0.5000 0.0000  0.05
Br: 0.5000 0.0000 0.0000  0.05
Te: 0.5000 0.5000 0.5000  0.42
As: 0.0000 0.0000 0.5000  -0.11
Ga: 0.0000 0.0000 0.0000  0.00

Stability, highest: run ii

Run i
TiGaAsBr2 after structural relaxation, computed with GGA-PBE.

**Magnetization**: 0.000 μB/f.u.
**DOS at the Fermi energy**: 3.5 states/eV/f.u.

a = 5.1963 Å, b = 5.1963 Å, c = 4.9836 Å
α = 90.00°, β = 90.00°, γ = 90.00°
Fractional positions:
Br: 0.5000 0.0000 0.0000
Br: 0.0000 0.5000 0.0000
As: 0.0000 0.0000 0.5000
Ga: 0.5000 0.5000 0.5000
Ti: 0.0000 0.0000 0.0000

Run ii
TiGaAsBr2 after structural relaxation, computed with GGA-PBE.

**Magnetization**: 0.035 μB/f.u.
**DOS at the Fermi energy**: 7.4 states/eV/f.u.

a = 5.0609 Å, b = 5.0609 Å, c = 5.0846 Å
α = 90.00°, β = 90.00°, γ = 90.00°
Last column: magnetic moment on the atom in μB.
Fractional positions:
Ga: 0.0000 0.0000 0.0000  0.00
Ti: 0.5000 0.5000 0.5000  -0.12
Br: 0.5000 0.0000 0.0000  0.01
Br: 0.0000 0.5000 0.0000  0.01
As: 0.0000 0.0000 0.5000  0.05

Stability, highest: run i

Run i
TlGaAsBr2 after structural relaxation, computed with GGA-PBE.

**Magnetization**: 1.493 μB/f.u.
**DOS at the Fermi energy**: 1.8 states/eV/f.u.

a = 5.5220 Å, b = 5.5220 Å, c = 5.0486 Å
α = 90.00°, β = 90.00°, γ = 90.00°
Last column: magnetic moment on the atom in μB.
Fractional positions:
Br: 0.5000 0.0000 0.0000  0.08
Br: 0.0000 0.5000 0.0000  0.08
As: 0.0000 0.0000 0.5000  0.58
Ga: 0.0000 0.0000 0.0000  -0.03
Tl: 0.5000 0.5000 0.5000  0.02

Run ii
TlGaAsBr2 after structural relaxation, computed with GGA-PBE.

**Magnetization**: 1.790 μB/f.u.
**DOS at the Fermi energy**: 1.1 states/eV/f.u.

a = 5.9505 Å, b = 5.9505 Å, c = 5.4388 Å
α = 90.00°, β = 90.00°, γ = 90.00°
Last column: magnetic moment on the atom in μB.
Fractional positions:
Br: 0.5000 0.0000 0.0000  0.08
Br: 0.0000 0.5000 0.0000  0.08
As: 0.0000 0.0000 0.5000  0.68
Ga: 0.5000 0.5000 0.5000  0.01
Tl: 0.0000 0.0000 0.0000  0.01

Stability, highest: run i

Run i
VGaAs2Br after structural relaxation, computed with GGA-PBE.

**Magnetization**: 2.691 μB/f.u.
**DOS at the Fermi energy**: 4.3 states/eV/f.u.

a = 4.8307 Å, b = 4.8307 Å, c = 5.3075 Å
α = 90.00°, β = 90.00°, γ = 90.00°
Last column: magnetic moment on the atom in μB.
Fractional positions:
Br: 0.0000 0.0000 0.5000  -0.13
V: 0.5000 0.5000 0.5000  2.94
As: 0.5000 0.0000 0.0000  -0.17
As: 0.0000 0.5000 0.0000  -0.17
Ga: 0.0000 0.0000 0.0000  0.00

Run ii
VGaAs2Br after structural relaxation, computed with GGA-PBE.

**Magnetization**: 0.594 μB/f.u.
**DOS at the Fermi energy**: 2.3 states/eV/f.u.

a = 4.6971 Å, b = 4.6971 Å, c = 5.6072 Å
α = 90.00°, β = 90.00°, γ = 90.00°
Last column: magnetic moment on the atom in μB.
Fractional positions:
As: 0.0000 0.5000 0.0000  -0.10
As: 0.5000 0.0000 0.0000  -0.10
Ga: 0.5000 0.5000 0.5000  0.00
V: 0.0000 0.0000 0.0000  0.88
Br: 0.0000 0.0000 0.5000  -0.02

Stability, highest: run ii

Run i
YGaAsBr2 after structural relaxation, computed with GGA-PBE.

**Magnetization**: 0.000 μB/f.u.
**DOS at the Fermi energy**: 1.9 states/eV/f.u.

a = 5.0850 Å, b = 5.0850 Å, c = 5.1584 Å
α = 90.00°, β = 90.00°, γ = 90.00°
Fractional positions:
As: 0.0000 0.0000 0.5000
Ga: 0.0000 0.0000 0.0000
Y: 0.5000 0.5000 0.5000
Br: 0.0000 0.5000 0.0000
Br: 0.5000 0.0000 0.0000

Run ii
YGaAsBr2 after structural relaxation, computed with GGA-PBE.

**Magnetization**: 1.000 μB/f.u.
**DOS at the Fermi energy**: 2.9 states/eV/f.u.

a = 5.5459 Å, b = 5.5459 Å, c = 5.6813 Å
α = 90.00°, β = 90.00°, γ = 90.00°
Last column: magnetic moment on the atom in μB.
Fractional positions:
Br: 0.0000 0.5000 0.0000  0.03
Br: 0.5000 0.0000 0.0000  0.03
As: 0.0000 0.0000 0.5000  0.37
Y: 0.0000 0.0000 0.0000  0.01
Ga: 0.5000 0.5000 0.5000  0.01

Stability, highest: run ii